# 1
First-principles (GGA-PBE) data for a relaxed structure of Hg3MoC, as listed in Alexandria via LeMat-Bulk.

Cell: 4.667 4.667 4.667 Å, 90.00 90.00 90.00°
Sites, in units of the cell vectors:
Hg  0.000  0.000  0.500
Hg  0.000  0.500  0.000
Hg  0.500  0.000  0.000
Mo  0.500  0.500  0.500
C  0.000  0.000  0.000

- Total magnetic moment: 3.62 μB/f.u.
- Theoretical density: 11.592 g/cm3
- DFT total energy: -12.8 eV for the cell shown
- Polymorph energy (0 for the lowest one): 0.0 meV/atom
- Energy of formation from the pure elements: 1.6375 eV/atom


# 2
First-principles (GGA-PBE) data for a relaxed structure of MnAu4, as listed in Alexandria via LeMat-Bulk.

Cell: 5.058 5.058 6.556 Å, 130.34 130.34 47.02°
Sites, in units of the cell vectors:
Mn  0.000  0.000  0.000
Au  0.205  0.205  0.806
Au  0.399  0.399  0.604
Au  0.601  0.601  0.396
Au  0.795  0.795  0.194

- Total magnetic moment: 4.18 μB/f.u.
- Theoretical density: 16.102 g/cm3
- DFT total energy: -22.7 eV for the cell shown
- Polymorph energy (0 for the lowest one): 0.0 meV/atom
- Energy of formation from the pure elements: -0.0780 eV/atom


# 3
First-principles (GGA-PBE) data for a relaxed structure of Pr6Al2Sn, as listed in Alexandria via LeMat-Bulk.

Cell: 9.057 9.057 9.057 Å, 113.14 111.93 103.51°
Sites, in units of the cell vectors:
Pr  0.032  0.822  0.210
Pr  0.239  0.538  0.300
Pr  0.239  0.939  0.700
Pr  0.281  0.310  0.591
Pr  0.281  0.690  0.971
Pr  0.389  0.178  0.210
Pr  0.611  0.822  0.790
Pr  0.719  0.310  0.029
Pr  0.719  0.690  0.409
Pr  0.761  0.061  0.300
Pr  0.761  0.462  0.700
Pr  0.968  0.178  0.790
Al  0.000  0.137  0.137
Al  0.000  0.863  0.863
Al  0.381  0.381  0.000
Al  0.619  0.619  0.000
Sn  0.000  0.500  0.500
Sn  0.500  0.000  0.500

- Total magnetic moment: 0.00 μB/f.u.
- Theoretical density: 5.961 g/cm3
- DFT total energy: -86.2 eV for the cell shown
- Energy of formation from the pure elements: -0.3235 eV/atom


# 4
First-principles (GGA-PBE) data for a relaxed structure of CuAg5I4Cl2, as listed in Alexandria via LeMat-Bulk.

Cell: 8.245 7.185 7.185 Å, 124.28 90.00 90.00°
Sites, in units of the cell vectors:
Cu  0.000  0.000  0.000
Ag  0.253  0.231  0.624
Ag  0.253  0.624  0.231
Ag  0.500  0.900  0.900
Ag  0.747  0.231  0.624
Ag  0.747  0.624  0.231
I  0.000  0.606  0.937
I  0.000  0.937  0.606
I  0.258  0.217  0.217
I  0.742  0.217  0.217
Cl  0.500  0.515  0.868
Cl  0.500  0.868  0.515

- Total magnetic moment: 0.00 μB/f.u.
- Theoretical density: 5.578 g/cm3
- DFT total energy: -31.3 eV for the cell shown


# 5
First-principles (GGA-PBE) data for a relaxed structure of Sm12ZnGa6, as listed in Alexandria via LeMat-Bulk.

Cell: 8.813 8.813 8.813 Å, 107.80 107.80 107.80°
Sites, in units of the cell vectors:
Sm  0.038  0.137  0.383
Sm  0.137  0.383  0.038
Sm  0.188  0.622  0.478
Sm  0.378  0.522  0.812
Sm  0.383  0.038  0.137
Sm  0.478  0.188  0.622
Sm  0.522  0.812  0.378
Sm  0.617  0.962  0.863
Sm  0.622  0.478  0.188
Sm  0.812  0.378  0.522
Sm  0.863  0.617  0.962
Sm  0.962  0.863  0.617
Zn  0.500  0.500  0.500
Ga  0.137  0.691  0.823
Ga  0.177  0.863  0.309
Ga  0.309  0.177  0.863
Ga  0.691  0.823  0.137
Ga  0.823  0.137  0.691
Ga  0.863  0.309  0.177

- Total magnetic moment: 0.00 μB/f.u.
- Theoretical density: 6.820 g/cm3
- DFT total energy: -79.7 eV for the cell shown
- Energy of formation from the pure elements: -0.1931 eV/atom


# 6
First-principles (GGA-PBE) data for a relaxed structure of SrZrTl2, as listed in Alexandria via LeMat-Bulk.

Cell: 3.619 3.619 9.073 Å, 90.00 90.00 90.00°
Sites, in units of the cell vectors:
Sr  0.000  0.000  0.000
Zr  0.500  0.500  0.710
Tl  0.000  0.000  0.512
Tl  0.500  0.500  0.281

- Total magnetic moment: 0.00 μB/f.u.
- Theoretical density: 8.213 g/cm3
- DFT total energy: -14.4 eV for the cell shown
- Energy of formation from the pure elements: 0.1482 eV/atom


# 7
First-principles (GGA-PBE) data for a relaxed structure of Hf4AsP3, as listed in Alexandria via LeMat-Bulk.

Cell: 12.463 12.463 12.463 Å, 17.19 17.19 17.19°
Sites, in units of the cell vectors:
Hf  0.120  0.120  0.120
Hf  0.376  0.376  0.376
Hf  0.624  0.624  0.624
Hf  0.880  0.880  0.880
As  0.500  0.500  0.500
P  0.000  0.000  0.000
P  0.252  0.252  0.252
P  0.748  0.748  0.748

- Total magnetic moment: 0.00 μB/f.u.
- Theoretical density: 9.926 g/cm3
- DFT total energy: -70.0 eV for the cell shown
- Energy of formation from the pure elements: -1.1689 eV/atom


# 8
First-principles (GGA-PBE) data for a relaxed structure of Sc3UPt12, as listed in Alexandria via LeMat-Bulk.

Cell: 4.044 4.044 16.181 Å, 90.00 90.00 90.00°
Sites, in units of the cell vectors:
Sc  0.000  0.000  0.000
Sc  0.000  0.000  0.243
Sc  0.000  0.000  0.757
U  0.000  0.000  0.500
Pt  0.000  0.500  0.123
Pt  0.000  0.500  0.371
Pt  0.000  0.500  0.629
Pt  0.000  0.500  0.877
Pt  0.500  0.000  0.123
Pt  0.500  0.000  0.371
Pt  0.500  0.000  0.629
Pt  0.500  0.000  0.877
Pt  0.500  0.500  0.000
Pt  0.500  0.500  0.246
Pt  0.500  0.500  0.500
Pt  0.500  0.500  0.754

- Total magnetic moment: 1.00 μB/f.u.
- Theoretical density: 17.032 g/cm3
- DFT total energy: -118.6 eV for the cell shown
- Energy of formation from the pure elements: -0.9899 eV/atom


# 9
First-principles (GGA-PBE) data for a relaxed structure of AgP2W, as listed in Alexandria via LeMat-Bulk.

Cell: 2.724 2.724 9.938 Å, 90.00 90.00 106.19°
Sites, in units of the cell vectors:
Ag  0.000  0.000  0.000
P  0.000  0.000  0.435
P  0.500  0.500  0.781
W  0.500  0.500  0.246

- Total magnetic moment: 0.00 μB/f.u.
- Theoretical density: 8.295 g/cm3
- DFT total energy: -24.6 eV for the cell shown
- Polymorph energy (0 for the lowest one): 482.3 meV/atom
- Energy of formation from the pure elements: 0.5048 eV/atom


# 10
First-principles (GGA-PBE) data for a relaxed structure of NbMoRh2, as listed in Alexandria via LeMat-Bulk.

Cell: 4.477 4.477 4.477 Å, 60.00 60.00 60.00°
Sites, in units of the cell vectors:
Nb  0.000  0.000  0.000
Mo  0.500  0.500  0.500
Rh  0.250  0.250  0.250
Rh  0.750  0.750  0.750

- Total magnetic moment: 0.00 μB/f.u.
- Theoretical density: 10.328 g/cm3
- DFT total energy: -35.3 eV for the cell shown
- Polymorph energy (0 for the lowest one): 377.0 meV/atom
- Energy of formation from the pure elements: 0.0678 eV/atom


# 11
First-principles (GGA-PBE) data for a relaxed structure of KAcTlHg, as listed in Alexandria via LeMat-Bulk.

Cell: 5.784 5.784 5.784 Å, 60.00 60.00 60.00°
Sites, in units of the cell vectors:
K  0.000  0.000  0.000
Ac  0.500  0.500  0.500
Tl  0.250  0.250  0.250
Hg  0.750  0.750  0.750

- Total magnetic moment: 0.00 μB/f.u.
- Theoretical density: 8.146 g/cm3
- DFT total energy: -8.8 eV for the cell shown
- Energy of formation from the pure elements: -0.2296 eV/atom


# 12
First-principles (GGA-PBE) data for a relaxed structure of Li3SmEr2Te6, as listed in Alexandria via LeMat-Bulk.

Cell: 7.534 7.534 7.494 Å, 99.65 99.65 120.00°
Sites, in units of the cell vectors:
Li  0.000  0.000  0.000
Li  0.334  0.666  0.000
Li  0.666  0.334  0.000
Sm  0.500  0.500  0.500
Er  0.167  0.833  0.500
Er  0.833  0.167  0.500
Te  0.075  0.415  0.245
Te  0.245  0.245  0.756
Te  0.415  0.075  0.245
Te  0.585  0.925  0.755
Te  0.755  0.755  0.244
Te  0.925  0.585  0.755

- Total magnetic moment: 0.00 μB/f.u.
- Theoretical density: 6.083 g/cm3
- DFT total energy: -53.9 eV for the cell shown


# 13
First-principles (GGA-PBE) data for a relaxed structure of CdAsCl2, as listed in Alexandria via LeMat-Bulk.

Cell: 4.817 6.373 6.373 Å, 39.76 90.00 90.00°
Sites, in units of the cell vectors:
Cd  0.000  0.000  0.000
As  0.500  0.099  0.099
Cl  0.000  0.381  0.381
Cl  0.500  0.688  0.688

- Total magnetic moment: 0.00 μB/f.u.
- Theoretical density: 3.427 g/cm3
- DFT total energy: -10.9 eV for the cell shown
- Polymorph energy (0 for the lowest one): 0.0 meV/atom


# 14
First-principles (GGA-PBE) data for a relaxed structure of LaTb6Ho3Sc2, as listed in Alexandria via LeMat-Bulk.

Cell: 6.091 6.091 11.673 Å, 94.97 94.97 119.97°
Sites, in units of the cell vectors:
La  0.000  0.000  0.000
Tb  0.084  0.420  0.248
Tb  0.253  0.253  0.751
Tb  0.420  0.084  0.248
Tb  0.580  0.916  0.752
Tb  0.747  0.747  0.249
Tb  0.916  0.580  0.752
Ho  0.167  0.833  0.500
Ho  0.500  0.500  0.500
Ho  0.833  0.167  0.500
Sc  0.333  0.667  0.000
Sc  0.667  0.333  0.000

- Total magnetic moment: 0.00 μB/f.u.
- Theoretical density: 7.536 g/cm3
- DFT total energy: -58.6 eV for the cell shown
- Energy of formation from the pure elements: 0.0400 eV/atom


# 15
First-principles (GGA-PBE) data for a relaxed structure of Cr2TcRu, as listed in Alexandria via LeMat-Bulk.

Cell: 2.681 3.647 5.372 Å, 90.00 90.00 90.00°
Sites, in units of the cell vectors:
Cr  0.000  0.000  0.248
Cr  0.000  0.000  0.752
Tc  0.500  0.500  0.500
Ru  0.500  0.500  0.000

- Total magnetic moment: 0.00 μB/f.u.
- Theoretical density: 9.581 g/cm3
- DFT total energy: -38.2 eV for the cell shown
- Energy of formation from the pure elements: 0.1602 eV/atom


# 16
First-principles (GGA-PBE) data for a relaxed structure of Pr3Cr5S12, as listed in Alexandria via LeMat-Bulk.

Cell: 13.085 13.085 13.085 Å, 109.47 109.47 109.47°
Sites, in units of the cell vectors:
Pr  0.125  0.250  0.375
Pr  0.125  0.375  0.750
Pr  0.250  0.375  0.125
Pr  0.250  0.875  0.625
Pr  0.375  0.125  0.250
Pr  0.375  0.750  0.125
Pr  0.625  0.250  0.875
Pr  0.625  0.875  0.750
Pr  0.750  0.125  0.375
Pr  0.750  0.625  0.875
Pr  0.875  0.625  0.250
Pr  0.875  0.750  0.625
Cr  0.000  0.000  0.000
Cr  0.000  0.000  0.500
Cr  0.000  0.500  0.000
Cr  0.000  0.500  0.500
Cr  0.125  0.750  0.875
Cr  0.125  0.875  0.250
Cr  0.250  0.125  0.875
Cr  0.250  0.625  0.375
Cr  0.375  0.250  0.625
Cr  0.375  0.625  0.750
Cr  0.500  0.000  0.000
Cr  0.500  0.000  0.500
Cr  0.500  0.500  0.000
Cr  0.500  0.500  0.500
Cr  0.625  0.375  0.250
Cr  0.625  0.750  0.375
Cr  0.750  0.375  0.625
Cr  0.750  0.875  0.125
Cr  0.875  0.125  0.750
Cr  0.875  0.250  0.125
S  0.024  0.203  0.117
S  0.024  0.321  0.907
S  0.086  0.703  0.679
S  0.086  0.883  0.407
S  0.093  0.617  0.414
S  0.093  0.976  0.679
S  0.117  0.024  0.203
S  0.117  0.593  0.914
S  0.179  0.203  0.586
S  0.179  0.476  0.593
S  0.203  0.117  0.024
S  0.203  0.586  0.179
S  0.297  0.321  0.914
S  0.297  0.476  0.383
S  0.321  0.907  0.024
S  0.321  0.914  0.297
S  0.383  0.297  0.476
S  0.383  0.586  0.907
S  0.407  0.086  0.883
S  0.407  0.821  0.524
S  0.414  0.093  0.617
S  0.414  0.821  0.797
S  0.476  0.383  0.297
S  0.476  0.593  0.179
S  0.524  0.407  0.821
S  0.524  0.617  0.703
S  0.586  0.179  0.203
S  0.586  0.907  0.383
S  0.593  0.179  0.476
S  0.593  0.914  0.117
S  0.617  0.414  0.093
S  0.617  0.703  0.524
S  0.679  0.086  0.703
S  0.679  0.093  0.976
S  0.703  0.524  0.617
S  0.703  0.679  0.086
S  0.797  0.414  0.821
S  0.797  0.883  0.976
S  0.821  0.524  0.407
S  0.821  0.797  0.414
S  0.883  0.407  0.086
S  0.883  0.976  0.797
S  0.907  0.024  0.321
S  0.907  0.383  0.586
S  0.914  0.117  0.593
S  0.914  0.297  0.321
S  0.976  0.679  0.093
S  0.976  0.797  0.883

- Total magnetic moment: 15.00 μB/f.u.
- Theoretical density: 4.111 g/cm3
- DFT total energy: -534.7 eV for the cell shown


# 17
First-principles (GGA-PBE) data for a relaxed structure of AcNdDy2Ho, as listed in Alexandria via LeMat-Bulk.

Cell: 9.377 9.377 6.482 Å, 90.00 90.00 139.54°
Sites, in units of the cell vectors:
Ac  0.159  0.841  0.750
Ac  0.841  0.159  0.250
Nd  0.347  0.653  0.750
Nd  0.653  0.347  0.250
Dy  0.252  0.252  0.000
Dy  0.252  0.252  0.500
Dy  0.748  0.748  0.000
Dy  0.748  0.748  0.500
Ho  0.250  0.750  0.250
Ho  0.750  0.250  0.750

- Total magnetic moment: 0.00 μB/f.u.
- Theoretical density: 7.734 g/cm3
- DFT total energy: -41.5 eV for the cell shown
- Energy of formation from the pure elements: 0.3858 eV/atom


# 18
First-principles (GGA-PBE) data for a relaxed structure of CaRh2W, as listed in Alexandria via LeMat-Bulk.

Cell: 5.916 5.916 5.916 Å, 152.10 133.94 54.71°
Sites, in units of the cell vectors:
Ca  0.000  0.000  0.000
Rh  0.498  0.498  0.000
Rh  0.726  0.226  0.500
W  0.286  0.786  0.500

- Total magnetic moment: 0.00 μB/f.u.
- Theoretical density: 10.283 g/cm3
- DFT total energy: -29.3 eV for the cell shown
- Polymorph energy (0 for the lowest one): 230.9 meV/atom
- Energy of formation from the pure elements: 0.0810 eV/atom


# 19
First-principles (GGA-PBE) data for a relaxed structure of PmTm6Th2, as listed in Alexandria via LeMat-Bulk.

Cell: 9.475 9.475 6.541 Å, 97.67 97.67 96.29°
Sites, in units of the cell vectors:
Pm  0.116  0.884  0.750
Pm  0.884  0.116  0.250
Tm  0.051  0.224  0.818
Tm  0.059  0.458  0.269
Tm  0.224  0.051  0.318
Tm  0.274  0.656  0.997
Tm  0.344  0.726  0.503
Tm  0.458  0.059  0.769
Tm  0.542  0.941  0.231
Tm  0.656  0.274  0.497
Tm  0.726  0.344  0.003
Tm  0.776  0.949  0.682
Tm  0.941  0.542  0.731
Tm  0.949  0.776  0.182
Th  0.339  0.391  0.622
Th  0.391  0.339  0.122
Th  0.609  0.661  0.878
Th  0.661  0.609  0.378

- Total magnetic moment: 0.00 μB/f.u.
- Theoretical density: 9.423 g/cm3
- DFT total energy: -90.4 eV for the cell shown
- Polymorph energy (0 for the lowest one): 2.3 meV/atom
- Energy of formation from the pure elements: 0.1382 eV/atom


# 20
First-principles (GGA-PBE) data for a relaxed structure of Hf2Ni6Ir, as listed in Alexandria via LeMat-Bulk.

Cell: 4.949 4.949 5.798 Å, 90.00 90.00 120.00°
Sites, in units of the cell vectors:
Hf  0.333  0.667  0.359
Hf  0.667  0.333  0.641
Ni  0.173  0.347  0.837
Ni  0.173  0.827  0.837
Ni  0.347  0.173  0.163
Ni  0.653  0.827  0.837
Ni  0.827  0.173  0.163
Ni  0.827  0.653  0.163
Ir  0.000  0.000  0.500

- Total magnetic moment: 0.00 μB/f.u.
- Theoretical density: 12.170 g/cm3
- DFT total energy: -66.8 eV for the cell shown
- Energy of formation from the pure elements: -0.3703 eV/atom